A plane-wave DFT calculation with meta-GGA SCAN was carried out for a PBEsol-optimized structure of Mn2NiRh.

Magnetic moment ... 7.16 μB/cell
DFT formation energy ... -96 meV/atom

Structure (POSCAR):
```
Mn2NiRh
1.0
-2.372 2.505 -0.820
-1.712 -0.626 3.041
2.040 2.476 1.658
Mn Rh Ni
2 1 1
direct
0.500 0.000 0.000
0.000 0.500 0.000
0.000 0.000 0.500
0.500 0.500 0.500
```

A plane-wave DFT calculation with meta-GGA SCAN was carried out for a PBEsol-optimized structure of Na2Sm2B2O7.

Magnetic moment ... 0.00 μB/cell
Formation energy from raw total energies ... -3033 meV/atom

Structure (POSCAR):
```
Na2Sm2B2O7
1.0
6.334 0.000 0.000
0.000 10.323 0.011
0.000 -4.971 9.449
O Na Sm B
28 8 8 8
direct
0.670 0.442 0.099
0.040 0.586 0.651
0.265 0.365 0.672
0.460 0.086 0.651
0.255 0.867 0.182
0.856 0.659 0.126
0.625 0.403 0.527
0.741 0.726 0.651
0.144 0.341 0.874
0.830 0.942 0.099
0.875 0.903 0.527
0.745 0.133 0.818
0.960 0.414 0.349
0.735 0.635 0.328
0.755 0.633 0.818
0.259 0.274 0.349
0.330 0.558 0.901
0.356 0.841 0.874
0.241 0.774 0.349
0.375 0.597 0.473
0.540 0.914 0.349
0.245 0.367 0.182
0.170 0.058 0.901
0.125 0.097 0.473
0.644 0.159 0.126
0.235 0.865 0.672
0.765 0.135 0.328
0.759 0.226 0.651
0.225 0.550 0.111
0.775 0.450 0.889
0.057 0.740 0.977
0.557 0.760 0.023
0.275 0.050 0.111
0.725 0.950 0.889
0.443 0.240 0.977
0.943 0.260 0.023
0.038 0.681 0.483
0.462 0.181 0.483
0.918 0.911 0.314
0.582 0.411 0.314
0.418 0.589 0.686
0.962 0.319 0.517
0.538 0.819 0.517
0.082 0.089 0.686
0.846 0.647 0.709
0.154 0.353 0.291
0.754 0.579 0.180
0.654 0.147 0.709
0.246 0.421 0.820
0.346 0.853 0.291
0.746 0.079 0.180
0.254 0.921 0.820
```

A plane-wave DFT calculation with meta-GGA SCAN was carried out for a PBEsol-optimized structure of Zr2FeRe.

Magnetic moment ... 0.06 μB/cell
E above lowest polymorph ... 0 meV/atom
DFT formation energy ... -242 meV/atom

Structure (POSCAR):
```
Zr2FeRe
1.0
4.533 0.000 0.000
2.267 3.926 0.000
2.267 1.309 3.701
Re Fe Zr
1 1 2
direct
0.500 0.500 0.500
0.000 0.000 0.000
0.250 0.250 0.250
0.750 0.750 0.750
```

A plane-wave DFT calculation with meta-GGA SCAN was carried out for a PBEsol-optimized structure of RbCrCl3.

Magnetic moment ... 16.00 μB/cell
Formation energy from raw total energies ... -1731 meV/atom

Structure (POSCAR):
```
RbCrCl3
1.0
6.910 0.000 0.000
-3.455 6.027 0.024
0.000 -0.839 12.442
Cl Cr Rb
12 4 4
direct
0.809 0.167 0.646
0.872 0.153 0.141
0.148 0.331 0.910
0.818 0.669 0.590
0.358 0.167 0.146
0.182 0.331 0.410
0.128 0.847 0.859
0.852 0.669 0.090
0.642 0.833 0.854
0.281 0.153 0.641
0.191 0.833 0.354
0.719 0.847 0.359
0.000 0.000 0.000
0.040 0.000 0.250
0.000 0.000 0.500
0.960 0.000 0.750
0.646 0.334 0.871
0.354 0.666 0.129
0.688 0.334 0.371
0.312 0.666 0.629
```

A plane-wave DFT calculation with meta-GGA SCAN was carried out for a PBEsol-optimized structure of Y2CrOs.

Magnetic moment ... 2.46 μB/cell
E above lowest polymorph ... 0 meV/atom
DFT formation energy ... 3 meV/atom

Structure (POSCAR):
```
Y2CrOs
1.0
3.288 0.000 0.000
0.000 4.766 0.000
-1.644 -2.383 5.163
Y Cr Os
2 1 1
direct
0.758 0.258 0.516
0.975 0.975 0.949
0.548 0.548 0.096
0.219 0.719 0.439
```

A plane-wave DFT calculation with meta-GGA SCAN was carried out for a PBEsol-optimized structure of RbMg2CoBr.

Magnetic moment ... 1.17 μB/cell
Formation energy from raw total energies ... 1 meV/atom

Structure (POSCAR):
```
RbMg2CoBr
1.0
4.908 0.000 0.000
0.000 4.908 0.000
0.000 0.000 5.450
Br Co Mg Rb
1 1 2 1
direct
0.000 0.000 0.500
0.000 0.000 0.000
0.000 0.500 0.000
0.500 0.000 0.000
0.500 0.500 0.500
```

A plane-wave DFT calculation with meta-GGA SCAN was carried out for a PBEsol-optimized structure of CaP2SBr.

Magnetic moment ... 0.37 μB/cell
Formation energy from raw total energies ... 888 meV/atom

Structure (POSCAR):
```
CaP2SBr
1.0
4.929 0.000 0.000
0.000 5.310 0.000
0.000 0.000 5.310
Ca P Br S
1 2 1 1
direct
0.000 0.000 0.000
0.000 0.500 0.000
0.000 0.000 0.500
0.500 0.500 0.500
0.500 0.000 0.000
```

A plane-wave DFT calculation with meta-GGA SCAN was carried out for a PBEsol-optimized structure of Na7Cu2O6.

Magnetic moment ... 6.00 μB/cell
Formation energy from raw total energies ... -1266 meV/atom

Structure (POSCAR):
```
Na7Cu2O6
1.0
5.690 0.000 0.000
-2.845 7.229 0.011
0.000 -2.695 10.229
Na O Cu
14 12 4
direct
0.261 0.447 0.803
0.421 0.118 0.650
0.761 0.336 0.906
0.303 0.882 0.850
0.928 0.000 0.750
0.425 0.664 0.594
0.186 0.447 0.303
0.575 0.336 0.406
0.072 0.000 0.250
0.579 0.882 0.350
0.814 0.553 0.697
0.239 0.664 0.094
0.739 0.553 0.197
0.697 0.118 0.150
0.149 0.754 0.309
0.997 0.652 0.918
0.133 0.807 0.629
0.851 0.246 0.691
0.326 0.193 0.871
0.867 0.193 0.371
0.395 0.246 0.191
0.003 0.348 0.082
0.605 0.754 0.809
0.674 0.807 0.129
0.655 0.652 0.418
0.345 0.348 0.582
0.754 0.752 0.962
0.002 0.248 0.538
0.246 0.248 0.038
0.998 0.752 0.462
```

A plane-wave DFT calculation with meta-GGA SCAN was carried out for a PBEsol-optimized structure of HfSb3Cl.

Magnetic moment ... 0.00 μB/cell
Formation energy from raw total energies ... 913 meV/atom

Structure (POSCAR):
```
HfSb3Cl
1.0
5.096 0.000 0.000
0.000 5.096 0.000
0.000 0.000 5.096
Sb Cl Hf
3 1 1
direct
0.000 0.500 0.000
0.500 0.000 0.000
0.000 0.000 0.500
0.000 0.000 0.000
0.500 0.500 0.500
```

A plane-wave DFT calculation with meta-GGA SCAN was carried out for a PBEsol-optimized structure of K2RuO4.

Magnetic moment ... 8.00 μB/cell
Formation energy from raw total energies ... -1495 meV/atom

Structure (POSCAR):
```
K2RuO4
1.0
6.076 0.000 0.000
0.000 7.747 0.000
0.000 0.000 10.631
O K Ru
16 8 4
direct
0.750 0.985 0.061
0.250 0.515 0.561
0.012 0.716 0.838
0.488 0.716 0.838
0.012 0.216 0.662
0.750 0.322 0.934
0.750 0.822 0.566
0.988 0.284 0.162
0.750 0.485 0.439
0.488 0.216 0.662
0.250 0.015 0.939
0.988 0.784 0.338
0.250 0.178 0.434
0.512 0.784 0.338
0.512 0.284 0.162
0.250 0.678 0.066
0.750 0.503 0.707
0.250 0.846 0.563
0.750 0.003 0.793
0.250 0.346 0.937
0.750 0.654 0.063
0.250 0.997 0.207
0.750 0.154 0.437
0.250 0.497 0.293
0.250 0.290 0.581
0.750 0.710 0.419
0.250 0.790 0.919
0.750 0.210 0.081
```

A plane-wave DFT calculation with meta-GGA SCAN was carried out for a PBEsol-optimized structure of Dy5B3O13.

Magnetic moment ... 4.13 μB/cell
Formation energy from raw total energies ... -3300 meV/atom

Structure (POSCAR):
```
Dy5B3O13
1.0
-0.879 6.596 0.637
-8.235 -0.800 -3.090
1.543 -0.632 8.673
B O Dy
6 26 10
direct
0.250 0.633 0.601
0.750 0.032 0.633
0.750 0.601 0.968
0.250 0.399 0.032
0.750 0.367 0.399
0.250 0.968 0.367
0.571 0.653 0.907
0.250 0.519 0.677
0.429 0.907 0.254
0.250 0.323 0.842
0.250 0.158 0.481
0.250 0.534 0.408
0.929 0.093 0.746
0.750 0.677 0.158
0.929 0.653 0.907
0.750 0.126 0.534
0.750 0.481 0.323
0.750 0.466 0.592
0.071 0.746 0.653
0.250 0.592 0.126
0.250 0.874 0.466
0.071 0.347 0.093
0.750 0.842 0.519
0.571 0.093 0.746
0.250 0.000 0.000
0.929 0.254 0.347
0.429 0.347 0.093
0.750 0.408 0.874
0.429 0.746 0.653
0.071 0.907 0.254
0.750 0.000 0.000
0.571 0.254 0.347
0.750 0.762 0.747
0.502 0.333 0.667
0.498 0.667 0.333
0.250 0.747 0.985
0.250 0.238 0.253
0.998 0.333 0.667
0.750 0.253 0.015
0.002 0.667 0.333
0.250 0.015 0.762
0.750 0.985 0.238
```

A plane-wave DFT calculation with meta-GGA SCAN was carried out for a PBEsol-optimized structure of TaAlPb.

Magnetic moment ... 0.00 μB/cell
DFT formation energy ... 796 meV/atom

Structure (POSCAR):
```
TaAlPb
1.0
4.636 0.000 0.000
2.318 4.015 0.000
2.318 1.338 3.785
Al Ta Pb
1 1 1
direct
0.000 0.000 0.000
0.750 0.750 0.750
0.500 0.500 0.500
```